The following is a PBE-GGA calculation of a relaxed structure of Dy2HoLu, from the Alexandria database.

Geometry as extended XYZ:
```
16
Lattice="7.922 0.000 0.000 0.000 7.922 0.000 0.000 0.000 7.922" Properties=species:S:1:pos:R:3 pbc="T T T"
Dy 1.981 1.981 1.981
Dy 1.981 1.981 5.942
Dy 1.981 5.942 1.981
Dy 1.981 5.942 5.942
Dy 5.942 1.981 1.981
Dy 5.942 1.981 5.942
Dy 5.942 5.942 1.981
Dy 5.942 5.942 5.942
Ho 0.000 0.000 0.000
Ho 0.000 3.961 3.961
Ho 3.961 0.000 3.961
Ho 3.961 3.961 0.000
Lu 0.000 0.000 3.961
Lu 0.000 3.961 0.000
Lu 3.961 0.000 0.000
Lu 3.961 3.961 3.961
```

## Properties
For the energy above the most stable polymorph in this dataset, the calculation gives 111 meV/atom. The value obtained for the total energy is -71.04 eV/cell. The space-group type is No. 225.


The following is a PBE-GGA calculation of a relaxed structure of TbThCo2, from the Alexandria database.

Geometry as extended XYZ:
```
12
Lattice="4.402 0.000 0.000 -2.201 3.812 0.000 0.000 0.000 14.500" Properties=species:S:1:pos:R:3 pbc="T T T"
Tb 0.000 0.000 0.000
Tb 0.000 2.542 9.667
Tb 2.201 1.271 4.833
Th 0.000 0.000 7.250
Th 0.000 2.542 2.417
Th 2.201 1.271 12.084
Co 0.000 0.000 3.069
Co 0.000 0.000 11.431
Co 0.000 2.542 6.598
Co 0.000 2.542 12.736
Co 2.201 1.271 1.765
Co 2.201 1.271 7.902
```

## Properties
For the energy above the most stable polymorph in this dataset, the calculation gives 69 meV/atom. The value obtained for the total energy is -81.01 eV/cell. The space-group type is No. 166.


- Which value of total energy does entry 1 give?
  -71.04 eV/cell


- What is the energy above the most stable polymorph in this dataset in the second record?
  69 meV/atom